# 1
Density functional theory data (PBE-GGA) for a relaxed structure of Sc4Ga3Cu.

Values from the calculation:
As for the calculated formation energy: -0.509 eV per atom. The density comes out at 4871 kg/m³. As for the crystal system: orthorhombic. The relative energy among the computed polymorphs is 0.019 eV/atom.

Cell lengths 3.486, 4.202, 10.534 Å; angles 90.00, 90.00, 90.00 degrees
Space group Pmm2 (No. 25)
One atom of each set of equivalent atoms:
1 Sc 0.000 0.000 0.000
2 Sc 0.000 0.500 0.289
3 Sc 0.500 0.000 0.484
4 Sc 0.500 0.500 0.797
5 Ga 0.000 0.000 0.720
6 Ga 0.000 0.500 0.564
7 Ga 0.500 0.500 0.069
8 Cu 0.500 0.000 0.217

---

# 2
Density functional theory data (PBE-GGA) for a relaxed structure of Sc4GaCu2.

Values from the calculation:
As for the calculated formation energy: -0.247 eV per atom. The density comes out at 4592 kg/m³. As for the crystal system: trigonal. The relative energy among the computed polymorphs is 0.000 eV/atom.

Cell lengths 4.6100, 4.6100, 22.2020 Å; angles 90.00, 90.00, 120.00 degrees
Space group R-3m (No. 166, hexagonal axes)
One atom of each set of equivalent atoms:
1 Sc 0.0000 0.0000 0.1164
2 Sc 0.0000 0.0000 0.3701
3 Ga 0.0000 0.0000 0.5000
4 Cu 0.0000 0.0000 0.2441

---

# 3
Density functional theory data (PBE-GGA) for a relaxed structure of ScGa4Cu2.

Values from the calculation:
As for the calculated formation energy: -0.227 eV per atom. The density comes out at 6694 kg/m³. As for the crystal system: monoclinic.

Cell lengths 8.918, 6.127, 4.853 Å; angles 90.00, 122.46, 90.00 degrees
Space group C2/m (No. 12)
One atom of each set of equivalent atoms:
1 Sc 0.000 0.000 0.000
2 Ga 0.194 0.207 0.694
3 Cu 0.000 0.500 0.247